No. 1
Here is crystalline Tl5Os4 at its relaxed geometry from Alexandria. Energies are from PBE.

The structure in POSCAR format:
```
Tl5Os4
1.0
-5.365 5.365 1.771
5.365 -5.365 1.771
5.365 5.365 -1.771
Tl Os
5 4
Direct
0.000 0.000 0.000 Tl
0.331 0.331 0.661 Tl
0.331 0.669 0.000 Tl
0.669 0.331 0.000 Tl
0.669 0.669 0.339 Tl
0.000 0.376 0.376 Os
0.000 0.624 0.624 Os
0.376 0.000 0.376 Os
0.624 0.000 0.624 Os
```

Computed properties:
offset from the most stable computed form: 0 meV/atom
DOS(E_F): 10.4 states/eV per cell
ΔE_f: 1.000 eV/atom

No. 2
Here is crystalline ZnWC2Cl at its relaxed geometry from Alexandria. Energies are from PBE.

The structure in POSCAR format:
```
ZnWC2Cl
1.0
3.997 0.000 0.000
0.000 3.997 0.000
0.000 0.000 5.601
Zn W C Cl
1 1 2 1
Direct
0.000 0.000 0.000 Zn
0.000 0.000 0.500 W
0.000 0.500 0.500 C
0.500 0.000 0.500 C
0.500 0.500 0.000 Cl
```

Computed properties:
DOS(E_F): 2.4 states/eV per cell
formation energy from raw total energies: 1.289 eV per atom

No. 3
Here is crystalline Cr4Ir3Rh2 at its relaxed geometry from Alexandria. Energies are from PBE.

The structure in POSCAR format:
```
Cr4Ir3Rh2
1.0
4.172 -1.887 0.000
4.172 1.887 0.000
-2.339 0.000 7.575
Cr Ir Rh
4 3 2
Direct
0.004 0.004 0.337 Cr
0.330 0.330 0.105 Cr
0.670 0.670 0.895 Cr
0.996 0.996 0.663 Cr
0.000 0.000 0.000 Ir
0.337 0.337 0.437 Ir
0.663 0.663 0.563 Ir
0.333 0.333 0.783 Rh
0.667 0.667 0.217 Rh
```

Computed properties:
DOS(E_F): 9.3 states/eV per cell
ΔE_f: -0.120 eV/atom

Q: What is the DOS(E_F) in the second record?
A: 2.4 states/eV per cell